BaCa2Au: optimized geometry, PBE-GGA.

It has space group I4/mmm (No. 139), with a = 4.906 Å, b = 4.906 Å, c = 12.084 Å, α = 90.00°, β = 90.00° and γ = 90.00°. The inequivalent atoms are Ba at (0.000, 0.000, 0.000), Ca at (0.000, 0.500, 0.250) and Au at (0.000, 0.000, 0.500).

The energy of formation comes out at -0.13 eV per atom. Its calculated total energy is -0.179 Ry per atom. The value obtained for the energy above the lowest structure with this stoichiometry is 117 kJ/mol of formula units. The value obtained for the magnetic moment is 0.00 μB per formula unit.